Compound: LiAl2PN
Source: the Alexandria database
Functional: GGA-PBE
Structure: optimized geometry

Calculated values
Energy relative to the elements, uncorrected (eV per atom): 0.114
Total moment (μB per atom): 0.00
Calculated density (g/cm3): 2.43
Total DFT energy (no corrections) (eV/cell): -22.57

Cell and atoms, written as CIF:
```
data_LiAl2PN
_space_group_name_H-M_alt 'P 1'
_space_group_IT_number 1
_cell_length_a 3.826
_cell_length_b 4.942
_cell_length_c 3.826
_cell_angle_alpha 90.00
_cell_angle_beta 90.00
_cell_angle_gamma 90.00
loop_
_space_group_symop_operation_xyz
'x,y,z'
loop_
_atom_site_label
_atom_site_fract_x
_atom_site_fract_y
_atom_site_fract_z
P1 0.000 0.500 0.000
Li1 0.500 0.500 0.500
Al1 0.000 0.000 0.500
Al2 0.500 0.000 0.000
N1 0.000 0.000 0.000
```